Run A
SrP2PtO: optimized geometry, PBE.

Structure (POSCAR):
```
SrP2PtO
1.0
5.466 0.000 0.000
0.000 5.466 0.000
0.000 0.000 4.124
Sr O Pt P
1 1 1 2
Cartesian
0.000 0.000 0.000 Sr
0.000 0.000 2.062 O
2.733 2.733 2.062 Pt
0.000 2.733 0.000 P
2.733 0.000 0.000 P
```

Results
Magnetization, μB/cell: 1.6



Run B
SrP2PtO: optimized geometry, PBE.

Structure (POSCAR):
```
SrP2PtO
1.0
4.640 0.000 0.000
0.000 4.640 0.000
0.000 0.000 4.588
Sr O Pt P
1 1 1 2
Cartesian
2.320 2.320 2.294 Sr
0.000 0.000 2.294 O
0.000 0.000 0.000 Pt
0.000 2.320 0.000 P
2.320 0.000 0.000 P
```

Results
Magnetization, μB/cell: 0.0



Most stable pick: run B. Distance to second place: 137.7 kJ/mol of atoms.